## i
TmHfCo | PBE | optimized geometry

Results
DOS at the Fermi energy (states/eV per atom): 1.2475
M_tot (μB per formula unit): 1.39

Unit cell a=6.0931 b=6.0931 c=6.0931 alpha=149.00 beta=149.00 gamma=44.41
Closest atoms and distances in Å follow each position.
Sites, in units of the cell vectors:
Tm 0.0000 0.0000 0.0000  4 Co 2.96, 1 Hf 3.18, 4 Tm 3.26
Hf 0.2817 0.2817 0.0000  4 Co 2.65
Co 0.6647 0.6647 0.0000  4 Hf 2.65, 4 Tm 2.96

=====

## ii
TmHfCo | PBE | optimized geometry

Results
DOS at the Fermi energy (states/eV per atom): 0.9665
M_tot (μB per formula unit): 0.00

Unit cell a=6.7694 b=6.7694 c=6.2229 alpha=117.22 beta=117.22 gamma=29.24
Closest atoms and distances in Å follow each position.
Sites, in units of the cell vectors:
Tm 0.2130 0.2130 0.2129  2 Co 2.66
Tm 0.7870 0.7870 0.7871  2 Co 2.66
Hf 0.4996 0.4996 0.2545  4 Co 2.62
Hf 0.5004 0.5004 0.7455  4 Co 2.62
Co 0.1105 0.1105 0.6099  1 Co 2.55, 4 Hf 2.62, 2 Tm 2.66
Co 0.8895 0.8895 0.3901  1 Co 2.55, 4 Hf 2.62, 2 Tm 2.66

=====

The structure with the greatest stability is ii.